Density functional theory data (GGA-PBE) for a relaxed structure of Ac6SnS12.

a = 8.3904 Å, b = 8.3904 Å, c = 8.3904 Å
α = 98.76°, β = 98.76°, γ = 98.76°
With the nearest neighbours (Å) after each atom.
Sites, in units of the cell vectors:
Ac (0.1207, 0.7939, 0.6366)  7 S 2.95-3.10
Ac (0.2061, 0.3634, 0.8793)  7 S 2.95-3.10
Ac (0.3634, 0.8793, 0.2061)  7 S 2.95-3.10
Ac (0.6366, 0.1207, 0.7939)  7 S 2.95-3.10
Ac (0.7939, 0.6366, 0.1207)  7 S 2.95-3.10
Ac (0.8793, 0.2061, 0.3634)  7 S 2.95-3.10
Sn (0.5000, 0.5000, 0.5000)  6 S 2.62
S (0.0541, 0.9152, 0.3217)  4 Ac 2.95-3.04
S (0.0848, 0.6783, 0.9459)  4 Ac 2.95-3.04
S (0.1927, 0.4450, 0.5345)  1 Sn 2.62
S (0.3217, 0.0541, 0.9152)  4 Ac 2.95-3.04
S (0.4450, 0.5345, 0.1927)  1 Sn 2.62
S (0.4655, 0.8073, 0.5550)  1 Sn 2.62
S (0.5345, 0.1927, 0.4450)  1 Sn 2.62
S (0.5550, 0.4655, 0.8073)  1 Sn 2.62
S (0.6783, 0.9459, 0.0848)  4 Ac 2.95-3.04
S (0.8073, 0.5550, 0.4655)  1 Sn 2.62
S (0.9152, 0.3217, 0.0541)  4 Ac 2.95-3.04
S (0.9459, 0.0848, 0.6783)  4 Ac 2.95-3.04

Computed properties:
- Total energy: -110.2 eV/f.u.

***

Density functional theory data (GGA-PBE) for a relaxed structure of Ac12Sn3S5.

a = 15.9582 Å, b = 15.9582 Å, c = 15.9582 Å
α = 109.47°, β = 109.47°, γ = 109.47°
With the nearest neighbours (Å) after each atom.
Sites, in units of the cell vectors:
Ac (0.0332, 0.2116, 0.1184)  2 S 2.81-3.02
Ac (0.0332, 0.3216, 0.9147)  2 S 2.81-3.02
Ac (0.0853, 0.6184, 0.4069)  2 S 2.81-3.02
Ac (0.0853, 0.9668, 0.6784)  2 S 2.81-3.02
Ac (0.0931, 0.7116, 0.6784)  2 S 2.81-3.02
Ac (0.0931, 0.8816, 0.4147)  2 S 2.81-3.02
Ac (0.1184, 0.0332, 0.2116)  2 S 2.81-3.02
Ac (0.1184, 0.5853, 0.9069)  2 S 2.81-3.02
Ac (0.1784, 0.2116, 0.5931)  2 S 2.81-3.02
Ac (0.1784, 0.4668, 0.5853)  2 S 2.81-3.02
Ac (0.2116, 0.1184, 0.0332)  2 S 2.81-3.02
Ac (0.2116, 0.5931, 0.1784)  2 S 2.81-3.02
Ac (0.2884, 0.3216, 0.9069)  2 S 2.81-3.02
Ac (0.2884, 0.4668, 0.3816)  2 S 2.81-3.02
Ac (0.3216, 0.9069, 0.2884)  2 S 2.81-3.02
Ac (0.3216, 0.9147, 0.0332)  2 S 2.81-3.02
Ac (0.3816, 0.2884, 0.4668)  2 S 2.81-3.02
Ac (0.3816, 0.5931, 0.9147)  2 S 2.81-3.02
Ac (0.4069, 0.0853, 0.6184)  2 S 2.81-3.02
Ac (0.4069, 0.8216, 0.7884)  2 S 2.81-3.02
Ac (0.4147, 0.0931, 0.8816)  2 S 2.81-3.02
Ac (0.4147, 0.8216, 0.5332)  2 S 2.81-3.02
Ac (0.4668, 0.3816, 0.2884)  2 S 2.81-3.02
Ac (0.4668, 0.5853, 0.1784)  2 S 2.81-3.02
Ac (0.5332, 0.4147, 0.8216)  2 S 2.81-3.02
Ac (0.5332, 0.6184, 0.7116)  2 S 2.81-3.02
Ac (0.5853, 0.1784, 0.4668)  2 S 2.81-3.02
Ac (0.5853, 0.9069, 0.1184)  2 S 2.81-3.02
Ac (0.5931, 0.1784, 0.2116)  2 S 2.81-3.02
Ac (0.5931, 0.9147, 0.3816)  2 S 2.81-3.02
Ac (0.6184, 0.4069, 0.0853)  2 S 2.81-3.02
Ac (0.6184, 0.7116, 0.5332)  2 S 2.81-3.02
Ac (0.6784, 0.0853, 0.9668)  2 S 2.81-3.02
Ac (0.6784, 0.0931, 0.7116)  2 S 2.81-3.02
Ac (0.7116, 0.5332, 0.6184)  2 S 2.81-3.02
Ac (0.7116, 0.6784, 0.0931)  2 S 2.81-3.02
Ac (0.7884, 0.4069, 0.8216)  2 S 2.81-3.02
Ac (0.7884, 0.8816, 0.9668)  2 S 2.81-3.02
Ac (0.8216, 0.5332, 0.4147)  2 S 2.81-3.02
Ac (0.8216, 0.7884, 0.4069)  2 S 2.81-3.02
Ac (0.8816, 0.4147, 0.0931)  2 S 2.81-3.02
Ac (0.8816, 0.9668, 0.7884)  2 S 2.81-3.02
Ac (0.9069, 0.1184, 0.5853)  2 S 2.81-3.02
Ac (0.9069, 0.2884, 0.3216)  2 S 2.81-3.02
Ac (0.9147, 0.0332, 0.3216)  2 S 2.81-3.02
Ac (0.9147, 0.3816, 0.5931)  2 S 2.81-3.02
Ac (0.9668, 0.6784, 0.0853)  2 S 2.81-3.02
Ac (0.9668, 0.7884, 0.8816)  2 S 2.81-3.02
Sn (0.1250, 0.2500, 0.3750)  8 Ac 3.51-3.61
Sn (0.1250, 0.3750, 0.7500)  8 Ac 3.51-3.61
Sn (0.2500, 0.3750, 0.1250)  8 Ac 3.51-3.61
Sn (0.2500, 0.8750, 0.6250)  8 Ac 3.51-3.61
Sn (0.3750, 0.1250, 0.2500)  8 Ac 3.51-3.61
Sn (0.3750, 0.7500, 0.1250)  8 Ac 3.51-3.61
Sn (0.6250, 0.2500, 0.8750)  8 Ac 3.51-3.61
Sn (0.6250, 0.8750, 0.7500)  8 Ac 3.51-3.61
Sn (0.7500, 0.1250, 0.3750)  8 Ac 3.51-3.61
Sn (0.7500, 0.6250, 0.8750)  8 Ac 3.51-3.61
Sn (0.8750, 0.6250, 0.2500)  8 Ac 3.51-3.61
Sn (0.8750, 0.7500, 0.6250)  8 Ac 3.51-3.61
S (0.0000, 0.0000, 0.0000)  6 Ac 3.02
S (0.0000, 0.0000, 0.5000)  6 Ac 3.02
S (0.0000, 0.5000, 0.0000)  6 Ac 3.02
S (0.0000, 0.5000, 0.5000)  6 Ac 3.02
S (0.1250, 0.7500, 0.8750)  4 Ac 2.81
S (0.1250, 0.8750, 0.2500)  4 Ac 2.81
S (0.2500, 0.1250, 0.8750)  4 Ac 2.81
S (0.2500, 0.6250, 0.3750)  4 Ac 2.81
S (0.3750, 0.2500, 0.6250)  4 Ac 2.81
S (0.3750, 0.6250, 0.7500)  4 Ac 2.81
S (0.5000, 0.0000, 0.0000)  6 Ac 3.02
S (0.5000, 0.0000, 0.5000)  6 Ac 3.02
S (0.5000, 0.5000, 0.0000)  6 Ac 3.02
S (0.5000, 0.5000, 0.5000)  6 Ac 3.02
S (0.6250, 0.3750, 0.2500)  4 Ac 2.81
S (0.6250, 0.7500, 0.3750)  4 Ac 2.81
S (0.7500, 0.3750, 0.6250)  4 Ac 2.81
S (0.7500, 0.8750, 0.1250)  4 Ac 2.81
S (0.8750, 0.1250, 0.7500)  4 Ac 2.81
S (0.8750, 0.2500, 0.1250)  4 Ac 2.81

Computed properties:
- Total energy: -101.1 eV/f.u.

***

Density functional theory data (GGA-PBE) for a relaxed structure of Ac2SnS4.

a = 7.7333 Å, b = 7.7333 Å, c = 7.6752 Å
α = 116.46°, β = 116.46°, γ = 32.73°
With the nearest neighbours (Å) after each atom.
Sites, in units of the cell vectors:
Ac (0.2118, 0.2118, 0.2071)  6 S 2.92-3.08
Ac (0.7882, 0.7882, 0.7929)  6 S 2.92-3.08
Sn (0.5000, 0.5000, 0.5000)  6 S 2.90-3.02
S (0.1453, 0.1453, 0.5196)  3 Ac 2.99-3.08, 2 Sn 3.02
S (0.3757, 0.3757, 0.0760)  1 Sn 2.90, 3 Ac 2.92-3.03
S (0.6243, 0.6243, 0.9240)  1 Sn 2.90, 3 Ac 2.92-3.03
S (0.8547, 0.8547, 0.4804)  3 Ac 2.99-3.08, 2 Sn 3.02

Computed properties:
- Total energy: -39.7 eV/f.u.

***

Density functional theory data (GGA-PBE) for a relaxed structure of AcSnS.

a = 10.1998 Å, b = 10.1998 Å, c = 10.1998 Å
α = 156.01°, β = 156.01°, γ = 34.18°
With the nearest neighbours (Å) after each atom.
Sites, in units of the cell vectors:
Ac (0.1563, 0.1563, 0.0000)  5 S 3.03-3.06
Ac (0.8437, 0.8437, 0.0000)  5 S 3.03-3.06
Sn (0.0000, 0.5000, 0.5000)  4 Sn 3.00
Sn (0.5000, 0.0000, 0.5000)  4 Sn 3.00
S (0.3119, 0.3119, 0.0000)  5 Ac 3.03-3.06
S (0.6881, 0.6881, 0.0000)  5 Ac 3.03-3.06

Computed properties:
- Total energy: -16.5 eV/f.u.

***

Density functional theory data (GGA-PBE) for a relaxed structure of Ac6SnS5.

a = 7.6305 Å, b = 7.6305 Å, c = 7.6532 Å
α = 99.59°, β = 99.59°, γ = 120.02°
With the nearest neighbours (Å) after each atom.
Sites, in units of the cell vectors:
Ac (0.0689, 0.4140, 0.7415)  5 S 3.07-3.12, 1 Sn 3.23
Ac (0.2403, 0.2403, 0.2567)  5 S 3.02-3.12, 1 Sn 3.22
Ac (0.4140, 0.0689, 0.7415)  5 S 3.07-3.12, 1 Sn 3.23
Ac (0.5860, 0.9311, 0.2585)  5 S 3.07-3.12, 1 Sn 3.23
Ac (0.7597, 0.7597, 0.7433)  5 S 3.02-3.12, 1 Sn 3.22
Ac (0.9311, 0.5860, 0.2585)  5 S 3.07-3.12, 1 Sn 3.23
Sn (0.5000, 0.5000, 0.0000)  6 Ac 3.22-3.23
S (0.0000, 0.0000, 0.5000)  6 Ac 3.02-3.12
S (0.1677, 0.8323, 0.0000)  6 Ac 3.11-3.12
S (0.3393, 0.6607, 0.5000)  6 Ac 3.07-3.12
S (0.6607, 0.3393, 0.5000)  6 Ac 3.07-3.12
S (0.8323, 0.1677, 0.0000)  6 Ac 3.11-3.12

Computed properties:
- Total energy: -70.6 eV/f.u.

***

Density functional theory data (GGA-PBE) for a relaxed structure of AcSnS2.

a = 6.3692 Å, b = 6.3692 Å, c = 6.3692 Å
α = 42.98°, β = 42.98°, γ = 42.98°
With the nearest neighbours (Å) after each atom.
Sites, in units of the cell vectors:
Ac (0.0000, 0.0000, 0.0000)  6 S 3.08
Sn (0.5000, 0.5000, 0.5000)  6 S 3.04
S (0.2477, 0.2477, 0.2477)  3 Sn 3.04, 3 Ac 3.08
S (0.7523, 0.7523, 0.7523)  3 Sn 3.04, 3 Ac 3.08

Computed properties:
- Total energy: -20.9 eV/f.u.

***

Please write out number 1 again, unchanged.
Density functional theory data (GGA-PBE) for a relaxed structure of Ac6SnS12.

a = 8.3904 Å, b = 8.3904 Å, c = 8.3904 Å
α = 98.76°, β = 98.76°, γ = 98.76°
With the nearest neighbours (Å) after each atom.
Sites, in units of the cell vectors:
Ac (0.1207, 0.7939, 0.6366)  7 S 2.95-3.10
Ac (0.2061, 0.3634, 0.8793)  7 S 2.95-3.10
Ac (0.3634, 0.8793, 0.2061)  7 S 2.95-3.10
Ac (0.6366, 0.1207, 0.7939)  7 S 2.95-3.10
Ac (0.7939, 0.6366, 0.1207)  7 S 2.95-3.10
Ac (0.8793, 0.2061, 0.3634)  7 S 2.95-3.10
Sn (0.5000, 0.5000, 0.5000)  6 S 2.62
S (0.0541, 0.9152, 0.3217)  4 Ac 2.95-3.04
S (0.0848, 0.6783, 0.9459)  4 Ac 2.95-3.04
S (0.1927, 0.4450, 0.5345)  1 Sn 2.62
S (0.3217, 0.0541, 0.9152)  4 Ac 2.95-3.04
S (0.4450, 0.5345, 0.1927)  1 Sn 2.62
S (0.4655, 0.8073, 0.5550)  1 Sn 2.62
S (0.5345, 0.1927, 0.4450)  1 Sn 2.62
S (0.5550, 0.4655, 0.8073)  1 Sn 2.62
S (0.6783, 0.9459, 0.0848)  4 Ac 2.95-3.04
S (0.8073, 0.5550, 0.4655)  1 Sn 2.62
S (0.9152, 0.3217, 0.0541)  4 Ac 2.95-3.04
S (0.9459, 0.0848, 0.6783)  4 Ac 2.95-3.04

Computed properties:
- Total energy: -110.2 eV/f.u.

***

Which of these has the lowest total energy?
Ac6SnS12